Record 1
Computed, not measured: a geometry-optimized BaCd2P structure at the GGA-PBE level of DFT.

```
data_BaCd2P
_chemical_formula_sum 'Ba1 Cd2 P1'
_space_group_name_H-M_alt 'P 4 m m'
_space_group_IT_number 99
_space_group_name_Hall 'P 4 -2'
_cell_length_a 3.885
_cell_length_b 3.885
_cell_length_c 7.287
_cell_angle_alpha 90.00
_cell_angle_beta 90.00
_cell_angle_gamma 90.00
loop_
_atom_site_label
_atom_site_fract_x
_atom_site_fract_y
_atom_site_fract_z
Ba1 0.000 0.000 0.000
Cd1 0.000 0.000 0.548
Cd2 0.500 0.500 0.355
P1 0.500 0.500 0.731
```

Computed properties:
Formation enthalpy at 0 K   -0.220 eV/atom
DOS at the Fermi energy   1.768 states/eV/cell
DFT total energy   -10.04 eV per formula unit

---

Record 2
Computed, not measured: a geometry-optimized BaCdP structure at the GGA-PBE level of DFT.

```
data_BaCdP
_chemical_formula_sum 'Ba4 Cd4 P4'
_space_group_name_H-M_alt 'C 1 m 1'
_space_group_IT_number 8
_space_group_name_Hall 'C -2y'
_cell_length_a 6.632
_cell_length_b 6.269
_cell_length_c 9.251
_cell_angle_alpha 90.00
_cell_angle_beta 110.73
_cell_angle_gamma 90.00
loop_
_atom_site_label
_atom_site_fract_x
_atom_site_fract_y
_atom_site_fract_z
Ba1 0.000 0.000 0.000
Ba2 0.152 0.500 0.310
Cd1 0.331 0.247 0.655
P1 0.196 0.000 0.395
P2 0.459 0.000 0.915
```

Computed properties:
Formation enthalpy at 0 K   -0.575 eV/atom
Excess energy over the best structure of this formula in the dataset   0.128 eV per atom
DOS at the Fermi energy   0.088 states/eV/cell
DFT total energy   -9.97 eV per formula unit

---

Record 3
Computed, not measured: a geometry-optimized BaCdP structure at the GGA-PBE level of DFT.

```
data_BaCdP
_chemical_formula_sum 'Ba4 Cd4 P4'
_space_group_name_H-M_alt 'I m m 2'
_space_group_IT_number 44
_space_group_name_Hall 'I 2 -2'
_cell_length_a 4.486
_cell_length_b 9.181
_cell_length_c 8.269
_cell_angle_alpha 90.00
_cell_angle_beta 90.00
_cell_angle_gamma 90.00
loop_
_atom_site_label
_atom_site_fract_x
_atom_site_fract_y
_atom_site_fract_z
Ba1 0.000 0.000 0.000
Ba2 0.000 0.500 0.092
Cd1 0.000 0.331 0.738
P1 0.000 0.250 0.407
```

Computed properties:
Formation enthalpy at 0 K   -0.615 eV/atom
Excess energy over the best structure of this formula in the dataset   0.087 eV per atom
DOS at the Fermi energy   1.067 states/eV/cell
DFT total energy   -10.09 eV per formula unit

---

Record 4
Computed, not measured: a geometry-optimized BaCdP structure at the GGA-PBE level of DFT.

```
data_BaCdP
_chemical_formula_sum 'Ba4 Cd4 P4'
_space_group_name_H-M_alt 'C 1 2/m 1'
_space_group_IT_number 12
_space_group_name_Hall '-C 2y'
_cell_length_a 11.069
_cell_length_b 4.565
_cell_length_c 7.281
_cell_angle_alpha 90.00
_cell_angle_beta 100.43
_cell_angle_gamma 90.00
loop_
_atom_site_label
_atom_site_fract_x
_atom_site_fract_y
_atom_site_fract_z
Ba1 0.120 0.000 0.299
Cd1 0.119 0.500 0.933
P1 0.180 0.000 0.760
```

Computed properties:
Formation enthalpy at 0 K   -0.702 eV/atom
Excess energy over the best structure of this formula in the dataset   0.000 eV per atom
DOS at the Fermi energy   0.042 states/eV/cell
DFT total energy   -10.35 eV per formula unit

---

Record 5
Computed, not measured: a geometry-optimized Ba4CdP structure at the GGA-PBE level of DFT.

```
data_Ba4CdP
_chemical_formula_sum 'Ba16 Cd4 P4'
_space_group_name_H-M_alt 'F -4 3 m'
_space_group_IT_number 216
_space_group_name_Hall 'F -4 2 3'
_cell_length_a 10.071
_cell_length_b 10.071
_cell_length_c 10.071
_cell_angle_alpha 90.00
_cell_angle_beta 90.00
_cell_angle_gamma 90.00
loop_
_atom_site_label
_atom_site_fract_x
_atom_site_fract_y
_atom_site_fract_z
Ba1 0.124 0.124 0.376
Cd1 0.000 0.000 0.000
P1 0.250 0.250 0.750
```

Computed properties:
Formation enthalpy at 0 K   0.422 eV/atom
Excess energy over the best structure of this formula in the dataset   0.834 eV per atom
DOS at the Fermi energy   31.342 states/eV/cell
DFT total energy   -11.48 eV per formula unit

---

Record 6
Computed, not measured: a geometry-optimized BaCdP2 structure at the GGA-PBE level of DFT.

```
data_BaCdP2
_chemical_formula_sum 'Ba4 Cd4 P8'
_space_group_name_H-M_alt 'I -4 2 d'
_space_group_IT_number 122
_space_group_name_Hall 'I -4 2bw'
_cell_length_a 5.194
_cell_length_b 5.194
_cell_length_c 17.318
_cell_angle_alpha 90.00
_cell_angle_beta 90.00
_cell_angle_gamma 90.00
loop_
_atom_site_label
_atom_site_fract_x
_atom_site_fract_y
_atom_site_fract_z
Ba1 0.000 0.000 0.000
Cd1 0.000 0.000 0.500
P1 0.067 0.250 0.625
```

Computed properties:
Formation enthalpy at 0 K   -0.311 eV/atom
DOS at the Fermi energy   3.998 states/eV/cell
DFT total energy   -14.90 eV per formula unit